Record 1
A relaxed structure of ScAuN2F. Source: Alexandria, functional PBE.

## Properties
**Space group**: P4/mmm, No. 123
**Formation energy without anion corrections**: 0.03 eV/atom
**D(E_F)**: 3.33 states/eV/cell

Unit cell a=4.288 b=4.288 c=3.938 alpha=90.00 beta=90.00 gamma=90.00
Last column: magnetic moment on the atom in μB.
Fractional coordinates of all 5 atoms:
1 Au 0.500 0.500 0.500  0.10
2 N 0.000 0.500 0.000  0.53
3 N 0.500 0.000 0.000  0.53
4 Sc 0.000 0.000 0.000  0.01
5 F 0.000 0.000 0.500  0.03



Record 2
A relaxed structure of RbBeNi2Sb. Source: Alexandria, functional PBE.

## Properties
**Space group**: P4/mmm, No. 123
**Formation energy without anion corrections**: 2.04 eV/atom
**D(E_F)**: 3.62 states/eV/cell

Unit cell a=4.675 b=5.001 c=4.675 alpha=90.00 beta=90.00 gamma=90.00
Fractional coordinates of all 5 atoms:
1 Sb 0.500 0.500 0.500
2 Ni 0.500 0.000 0.000
3 Ni 0.000 0.000 0.500
4 Be 0.000 0.500 0.000
5 Rb 0.000 0.000 0.000



Record 3
A relaxed structure of TcTeRu2. Source: Alexandria, functional PBE.

## Properties
**Space group**: Amm2, No. 38
**Formation energy without anion corrections**: 0.36 eV/atom
**D(E_F)**: 2.98 states/eV/cell

Unit cell a=4.040 b=2.941 c=5.606 alpha=74.77 beta=90.00 gamma=90.00
Fractional coordinates of all 4 atoms:
1 Tc 0.000 0.702 0.470
2 Ru 0.500 0.304 0.266
3 Ru 0.000 0.949 0.977
4 Te 0.500 0.544 0.787



Record 4
A relaxed structure of NpAuO6. Source: Alexandria, functional PBE.

## Properties
**Space group**: P-1, No. 2
**Formation energy without anion corrections**: -1.14 eV/atom
**D(E_F)**: 3.47 states/eV/cell

Unit cell a=5.470 b=5.851 c=5.667 alpha=66.63 beta=84.86 gamma=63.24
Last column: magnetic moment on the atom in μB.
Fractional coordinates of all 8 atoms:
1 Np 0.000 0.000 0.000  -0.05
2 O 0.051 0.651 0.201  0.07
3 O 0.696 0.152 0.212  0.14
4 O 0.304 0.848 0.788  0.14
5 O 0.694 0.040 0.732  0.51
6 O 0.306 0.960 0.268  0.51
7 O 0.949 0.349 0.799  0.07
8 Au 0.500 0.000 0.500  0.31



Record 5
A relaxed structure of ThGaI6. Source: Alexandria, functional PBE.

## Properties
**Space group**: R-3, No. 148
**Formation energy without anion corrections**: -0.81 eV/atom
**D(E_F)**: 5.07 states/eV/cell

Unit cell a=7.650 b=7.651 c=8.212 alpha=62.22 beta=62.23 gamma=59.99
Fractional coordinates of all 8 atoms:
1 I 0.251 0.904 0.255
2 I 0.096 0.409 0.745
3 I 0.409 0.749 0.745
4 I 0.749 0.096 0.745
5 I 0.904 0.591 0.255
6 I 0.591 0.251 0.255
7 Ga 0.500 0.500 0.500
8 Th 0.000 0.000 0.000



Record 6
A relaxed structure of CuSi2Pt. Source: Alexandria, functional PBE.

## Properties
**Space group**: P4/mmm, No. 123
**Formation energy without anion corrections**: -0.02 eV/atom
**D(E_F)**: 2.53 states/eV/cell

Unit cell a=3.572 b=3.955 c=3.955 alpha=90.00 beta=90.00 gamma=90.00
Fractional coordinates of all 4 atoms:
1 Cu 0.500 0.500 0.000
2 Pt 0.500 0.000 0.500
3 Si 0.000 0.500 0.500
4 Si 0.000 0.000 0.000



Record 7
A relaxed structure of Cd4PCl3. Source: Alexandria, functional PBE.

## Properties
**Space group**: Pmn2_1, No. 31
**Formation energy without anion corrections**: -0.55 eV/atom
**D(E_F)**: 0.00 states/eV/cell

Unit cell a=7.321 b=8.607 c=8.392 alpha=90.00 beta=90.00 gamma=90.00
Fractional coordinates of all 16 atoms:
1 P 0.551 0.831 0.500
2 P 0.051 0.169 0.000
3 Cl 0.415 0.371 0.720
4 Cl 0.915 0.629 0.220
5 Cl 0.415 0.371 0.280
6 Cl 0.910 0.288 0.500
7 Cl 0.915 0.629 0.780
8 Cl 0.410 0.712 0.000
9 Cd 0.061 0.361 0.226
10 Cd 0.561 0.639 0.726
11 Cd 0.232 0.925 0.500
12 Cd 0.561 0.639 0.274
13 Cd 0.370 0.064 0.000
14 Cd 0.870 0.936 0.500
15 Cd 0.061 0.361 0.774
16 Cd 0.732 0.075 0.000



Record 8
A relaxed structure of NdMg2Al2Ga. Source: Alexandria, functional PBE.

## Properties
**Space group**: I4/mmm, No. 139
**Electronic total energy**: -2.8529 eV per atom
**D(E_F)**: 3.18 states/eV/cell

Unit cell a=5.344 b=5.344 c=6.696 alpha=113.52 beta=113.52 gamma=90.00
Fractional coordinates of all 6 atoms:
1 Ga 0.000 0.000 0.000
2 Mg 0.250 0.750 0.500
3 Mg 0.750 0.250 0.500
4 Al 0.783 0.783 0.566
5 Al 0.217 0.217 0.434
6 Nd 0.500 0.500 0.000



Copy entry 8 word for word.
A relaxed structure of NdMg2Al2Ga. Source: Alexandria, functional PBE.

## Properties
**Space group**: I4/mmm, No. 139
**Electronic total energy**: -2.8529 eV per atom
**D(E_F)**: 3.18 states/eV/cell

Unit cell a=5.344 b=5.344 c=6.696 alpha=113.52 beta=113.52 gamma=90.00
Fractional coordinates of all 6 atoms:
1 Ga 0.000 0.000 0.000
2 Mg 0.250 0.750 0.500
3 Mg 0.750 0.250 0.500
4 Al 0.783 0.783 0.566
5 Al 0.217 0.217 0.434
6 Nd 0.500 0.500 0.000



Q: D(E_F) of number 8 (NdMg2Al2Ga)?
A: 3.18 states/eV/cell



Q: Look up the D(E_F) of the third one.
A: 2.98 states/eV/cell